This record from the Alexandria database describes crystalline BaNiSb2F at its relaxed geometry. The functional is PBE with a Hubbard U.

Computed properties:
- DFT total energy (eV per atom) = -3.341
- size of the total moment (Bohr magnetons per cell) = 1.0
- space group = P4/mmm

```
BaNiSb2F
1.0
-1.573 5.719 0.222
-3.644 -0.977 -0.665
-0.937 -0.484 5.842
Sb Ni F Ba
2 1 1 1
direct
0.000 0.000 0.500
0.500 0.000 0.000
0.000 0.500 0.000
0.000 0.000 0.000
0.500 0.500 0.500
```